# 1
# Tl3Sn2Bi

Tl3Sn2Bi after structural relaxation (GGA-PBE, Alexandria).

Values from the calculation:
**DOS at the Fermi energy**: 3.94 states/eV/f.u.
**Calculated volume**: 382.60 Å³ per cell
**Final energy**: -3.14 eV per atom

a b c (Å): 7.6861 7.6861 6.5173
angles (deg): 90.00 90.00 96.42
Last column: nearest neighbours and their distance in Å.
Atoms (fractional coordinates):
1 Tl 0.0629 0.9371 0.7500  1 Bi 3.31, 4 Sn 3.44, 2 Tl 3.56
2 Tl 0.0838 0.5934 0.2500  1 Tl 3.31, 4 Sn 3.38-3.50, 1 Bi 3.64
3 Tl 0.4066 0.9162 0.2500  1 Tl 3.31, 4 Sn 3.38-3.50, 1 Bi 3.64
4 Tl 0.5934 0.0838 0.7500  1 Tl 3.31, 4 Sn 3.38-3.50, 1 Bi 3.64
5 Tl 0.9162 0.4066 0.7500  1 Tl 3.31, 4 Sn 3.38-3.50, 1 Bi 3.64
6 Tl 0.9371 0.0629 0.2500  1 Bi 3.31, 4 Sn 3.44, 2 Tl 3.56
7 Sn 0.2877 0.2877 0.0000  2 Bi 3.20, 2 Sn 3.26, 6 Tl 3.38-3.50
8 Sn 0.2877 0.2877 0.5000  2 Bi 3.20, 2 Sn 3.26, 6 Tl 3.38-3.50
9 Sn 0.7123 0.7123 0.0000  2 Bi 3.20, 2 Sn 3.26, 6 Tl 3.38-3.50
10 Sn 0.7123 0.7123 0.5000  2 Bi 3.20, 2 Sn 3.26, 6 Tl 3.38-3.50
11 Bi 0.3520 0.6480 0.7500  4 Sn 3.20, 1 Tl 3.31
12 Bi 0.6480 0.3520 0.2500  4 Sn 3.20, 1 Tl 3.31

---

# 2
# Nb3Mo13

Nb3Mo13 after structural relaxation (GGA-PBE, Alexandria).

Values from the calculation:
**DOS at the Fermi energy**: 7.27 states/eV/f.u.
**Calculated volume**: 259.75 Å³ per cell
**Final energy**: -10.76 eV per atom

a b c (Å): 6.3790 6.3812 6.3812
angles (deg): 89.93 90.00 90.00
Last column: nearest neighbours and their distance in Å.
Atoms (fractional coordinates):
1 Nb 0.0000 0.0000 0.0000  6 Mo 2.76-2.77, 2 Nb 2.80
2 Nb 0.2513 0.2547 0.2547  7 Mo 2.77-2.79, 1 Nb 2.80
3 Nb 0.7487 0.2547 0.2547  7 Mo 2.77-2.79, 1 Nb 2.80
4 Mo 0.0000 0.0010 0.5050  6 Mo 2.75-2.77, 2 Nb 2.78
5 Mo 0.0000 0.5050 0.0010  6 Mo 2.75-2.77, 2 Nb 2.78
6 Mo 0.0000 0.5058 0.5058  6 Mo 2.74-2.76, 2 Nb 2.78
7 Mo 0.2511 0.2542 0.7522  7 Mo 2.75-2.77, 1 Nb 2.77
8 Mo 0.2511 0.7522 0.2542  7 Mo 2.75-2.77, 1 Nb 2.77
9 Mo 0.2512 0.7518 0.7518  7 Mo 2.73-2.75, 1 Nb 2.76
10 Mo 0.5000 0.0011 0.0011  6 Mo 2.75-2.76, 2 Nb 2.79
11 Mo 0.5000 0.0009 0.5059  6 Mo 2.74-2.76, 2 Nb 2.78
12 Mo 0.5000 0.5059 0.0009  6 Mo 2.74-2.76, 2 Nb 2.78
13 Mo 0.5000 0.5059 0.5059  6 Mo 2.73-2.75, 2 Nb 2.77
14 Mo 0.7489 0.2542 0.7522  7 Mo 2.75-2.77, 1 Nb 2.77
15 Mo 0.7489 0.7522 0.2542  7 Mo 2.75-2.77, 1 Nb 2.77
16 Mo 0.7488 0.7518 0.7518  7 Mo 2.73-2.75, 1 Nb 2.76

---

# 3
# BaPI3

BaPI3 after structural relaxation (GGA-PBE, Alexandria).

Values from the calculation:
**DOS at the Fermi energy**: 1.12 states/eV/f.u.
**Calculated volume**: 187.22 Å³ per cell
**ΔE_f (raw)**: -598 meV/atom

a b c (Å): 5.7207 5.7207 5.7207
angles (deg): 90.00 90.00 90.00
Last column: nearest neighbours and their distance in Å.
Atoms (fractional coordinates):
1 Ba 0.0000 0.0000 0.0000  12 I 4.05
2 P 0.5000 0.5000 0.5000  6 I 2.86
3 I 0.0000 0.5000 0.5000  2 P 2.86
4 I 0.5000 0.0000 0.5000  2 P 2.86
5 I 0.5000 0.5000 0.0000  2 P 2.86

---

# 4
# RbB2S3

RbB2S3 after structural relaxation (GGA-PBE, Alexandria).

Values from the calculation:
**Calculated volume**: 242.24 Å³ per cell
**ΔE_f (raw)**: -514 meV/atom

a b c (Å): 11.5292 11.5292 6.7310
angles (deg): 105.18 105.18 16.30
Last column: nearest neighbours and their distance in Å.
Atoms (fractional coordinates):
1 Rb 0.1882 0.1882 0.1906  7 S 3.20-3.59, 2 Rb 3.27
2 Rb 0.8118 0.8118 0.8094  7 S 3.20-3.59, 2 Rb 3.27
3 B 0.1068 0.1068 0.6476  1 S 1.78
4 B 0.4963 0.4963 0.6219  1 B 1.69, 1 S 1.89
5 B 0.5037 0.5037 0.3781  1 B 1.69, 1 S 1.89
6 B 0.8932 0.8932 0.3524  1 S 1.78
7 S 0.0524 0.0524 0.3565  3 B 2.00-2.02
8 S 0.1867 0.1867 0.6783  1 B 1.78
9 S 0.4224 0.4224 0.2148  3 B 1.89-2.07
10 S 0.5776 0.5776 0.7852  3 B 1.89-2.07
11 S 0.8133 0.8133 0.3217  1 B 1.78
12 S 0.9476 0.9476 0.6435  3 B 2.00-2.02

---

# 5
# DyMnSb3

DyMnSb3 after structural relaxation (GGA-PBE, Alexandria).

Values from the calculation:
**DOS at the Fermi energy**: 2.38 states/eV/f.u.
**Calculated volume**: 476.22 Å³ per cell
**ΔE_f (raw)**: -468 meV/atom

a b c (Å): 12.7017 6.2246 6.0232
angles (deg): 90.00 90.00 90.00
Last column: nearest neighbours and their distance in Å.
Atoms (fractional coordinates):
1 Dy 0.1889 0.0039 0.2500  9 Sb 3.19-3.30, 2 Mn 3.49
2 Dy 0.1889 0.4961 0.7500  9 Sb 3.19-3.30, 2 Mn 3.49
3 Dy 0.8111 0.5039 0.2500  9 Sb 3.19-3.30, 2 Mn 3.49
4 Dy 0.8111 0.9961 0.7500  9 Sb 3.19-3.30, 2 Mn 3.49
5 Mn 0.4038 0.7500 0.0000  6 Sb 2.70-2.74, 2 Mn 3.01
6 Mn 0.4038 0.7500 0.5000  6 Sb 2.70-2.74, 2 Mn 3.01
7 Mn 0.5962 0.2500 0.0000  6 Sb 2.70-2.74, 2 Mn 3.01
8 Mn 0.5962 0.2500 0.5000  6 Sb 2.70-2.74, 2 Mn 3.01
9 Sb 0.0022 0.7500 0.0000  4 Sb 3.01-3.11, 4 Dy 3.22-3.24
10 Sb 0.0022 0.7500 0.5000  4 Sb 3.01-3.11, 4 Dy 3.22-3.24
11 Sb 0.2710 0.9999 0.7500  2 Mn 2.74
12 Sb 0.2710 0.5001 0.2500  2 Mn 2.74
13 Sb 0.4352 0.1038 0.2500  4 Mn 2.70
14 Sb 0.4352 0.3962 0.7500  4 Mn 2.70
15 Sb 0.5648 0.6038 0.2500  4 Mn 2.70
16 Sb 0.5648 0.8962 0.7500  4 Mn 2.70
17 Sb 0.7290 0.0001 0.2500  2 Mn 2.74
18 Sb 0.7290 0.4999 0.7500  2 Mn 2.74
19 Sb 0.9978 0.2500 0.0000  4 Sb 3.01-3.11, 4 Dy 3.22-3.24
20 Sb 0.9978 0.2500 0.5000  4 Sb 3.01-3.11, 4 Dy 3.22-3.24

---

# 6
# FeSiS2N

FeSiS2N after structural relaxation (GGA-PBE, Alexandria).

Values from the calculation:
**DOS at the Fermi energy**: 8.44 states/eV/f.u.
**Calculated volume**: 70.51 Å³ per cell
**ΔE_f (raw)**: 727 meV/atom

a b c (Å): 4.6541 4.6541 3.2552
angles (deg): 90.00 90.00 90.00
Last column: nearest neighbours and their distance in Å.
Atoms (fractional coordinates):
1 Fe 0.0000 0.0000 0.0000  8 S 2.84
2 Si 0.5000 0.5000 0.5000  2 N 1.63
3 S 0.0000 0.5000 0.5000  2 Si 2.33
4 S 0.5000 0.0000 0.5000  2 Si 2.33
5 N 0.5000 0.5000 0.0000  2 Si 1.63

---

# 7
# La4ScTl2

La4ScTl2 after structural relaxation (GGA-PBE, Alexandria).

Values from the calculation:
**DOS at the Fermi energy**: 8.79 states/eV/f.u.
**Calculated volume**: 464.26 Å³ per cell
**Final energy**: -4.58 eV per atom

a b c (Å): 8.9432 10.4347 4.9750
angles (deg): 90.00 90.00 90.00
Last column: nearest neighbours and their distance in Å.
Atoms (fractional coordinates):
1 La 0.2128 0.0000 0.0000  4 Tl 3.37-3.58, 2 Sc 3.58, 4 La 3.62
2 La 0.2500 0.2500 0.5000  4 Tl 3.37, 2 Sc 3.44, 4 La 3.62
3 La 0.2500 0.7500 0.5000  4 Tl 3.37, 2 Sc 3.44, 4 La 3.62
4 La 0.2872 0.5000 0.0000  4 Tl 3.37-3.58, 2 Sc 3.58, 4 La 3.62
5 La 0.7128 0.5000 0.0000  4 Tl 3.37-3.58, 2 Sc 3.58, 4 La 3.62
6 La 0.7500 0.2500 0.5000  4 Tl 3.37, 2 Sc 3.44, 4 La 3.62
7 La 0.7500 0.7500 0.5000  4 Tl 3.37, 2 Sc 3.44, 4 La 3.62
8 La 0.7872 0.0000 0.0000  4 Tl 3.37-3.58, 2 Sc 3.58, 4 La 3.62
9 Sc 0.0000 0.5000 0.5000  4 Tl 3.31, 8 La 3.44-3.58
10 Sc 0.5000 0.0000 0.5000  4 Tl 3.31, 8 La 3.44-3.58
11 Tl 0.0000 0.2905 0.0000  2 Sc 3.31, 8 La 3.37-3.58
12 Tl 0.0000 0.7095 0.0000  2 Sc 3.31, 8 La 3.37-3.58
13 Tl 0.5000 0.2095 0.0000  2 Sc 3.31, 8 La 3.37-3.58
14 Tl 0.5000 0.7905 0.0000  2 Sc 3.31, 8 La 3.37-3.58

---

# 8
# TbHoEr2Tm2

TbHoEr2Tm2 after structural relaxation (GGA-PBE, Alexandria).

Values from the calculation:
**DOS at the Fermi energy**: 9.11 states/eV/f.u.
**Calculated volume**: 377.81 Å³ per cell
**Final energy**: -4.26 eV per atom

a b c (Å): 6.4606 17.4501 3.3512
angles (deg): 90.00 90.00 90.00
Last column: nearest neighbours and their distance in Å.
Atoms (fractional coordinates):
1 Tb 0.0000 0.0000 0.0000  2 Tm 3.13, 2 Tb 3.35
2 Tb 0.5000 0.5000 0.5000  2 Tm 3.13, 2 Tb 3.35
3 Ho 0.0000 0.5000 0.0000  2 Ho 3.35, 4 Tm 3.41, 4 Tb 3.64
4 Ho 0.5000 0.0000 0.5000  2 Ho 3.35, 4 Tm 3.41, 4 Tb 3.64
5 Er 0.2281 0.1840 0.0000  4 Tm 3.28-3.37, 2 Er 3.35, 1 Tb 3.53
6 Er 0.2719 0.6840 0.5000  4 Tm 3.28-3.37, 2 Er 3.35, 1 Tb 3.53
7 Er 0.7281 0.3160 0.5000  4 Tm 3.28-3.37, 2 Er 3.35, 1 Tb 3.53
8 Er 0.7719 0.8160 0.0000  4 Tm 3.28-3.37, 2 Er 3.35, 1 Tb 3.53
9 Tm 0.2262 0.3518 0.5000  1 Tb 3.13, 4 Er 3.28-3.37, 2 Tm 3.35, 2 Ho 3.41
10 Tm 0.2738 0.8518 0.0000  1 Tb 3.13, 4 Er 3.28-3.37, 2 Tm 3.35, 2 Ho 3.41
11 Tm 0.7262 0.1482 0.0000  1 Tb 3.13, 4 Er 3.28-3.37, 2 Tm 3.35, 2 Ho 3.41
12 Tm 0.7738 0.6482 0.5000  1 Tb 3.13, 4 Er 3.28-3.37, 2 Tm 3.35, 2 Ho 3.41

---

# 9
# CrPS2

CrPS2 after structural relaxation (GGA-PBE, Alexandria).

Values from the calculation:
**DOS at the Fermi energy**: 4.66 states/eV/f.u.
**Calculated volume**: 299.08 Å³ per cell
**ΔE_f (raw)**: 280 meV/atom

a b c (Å): 5.5671 5.5671 9.6500
angles (deg): 90.00 90.00 90.00
Last column: nearest neighbours and their distance in Å.
Atoms (fractional coordinates):
1 Cr 0.0000 0.0000 0.0000  4 S 2.17
2 Cr 0.0000 0.5000 0.2500  4 S 2.17
3 Cr 0.5000 0.0000 0.7500  4 S 2.17
4 Cr 0.5000 0.5000 0.5000  4 S 2.17
5 P 0.0000 0.0000 0.5000  4 S 2.46
6 P 0.0000 0.5000 0.7500  4 S 2.46
7 P 0.5000 0.0000 0.2500  4 S 2.46
8 P 0.5000 0.5000 0.0000  4 S 2.46
9 S 0.2074 0.2500 0.1250  2 Cr 2.17
10 S 0.2500 0.7074 0.3750  2 Cr 2.17
11 S 0.2500 0.7926 0.8750  2 Cr 2.17
12 S 0.2926 0.2500 0.6250  2 Cr 2.17
13 S 0.7074 0.7500 0.6250  2 Cr 2.17
14 S 0.7500 0.2074 0.8750  2 Cr 2.17
15 S 0.7500 0.2926 0.3750  2 Cr 2.17
16 S 0.7926 0.7500 0.1250  2 Cr 2.17

---

# 10
# KSc2Cu

KSc2Cu after structural relaxation (GGA-PBE, Alexandria).

Values from the calculation:
**DOS at the Fermi energy**: 5.23 states/eV/f.u.
**Calculated volume**: 203.64 Å³ per cell
**Final energy**: -3.73 eV per atom

a b c (Å): 6.0851 10.9393 3.0592
angles (deg): 90.00 90.00 90.00
Last column: nearest neighbours and their distance in Å.
Atoms (fractional coordinates):
1 K 0.0000 0.0000 0.0000  2 Cu 3.04, 2 K 3.06
2 K 0.5000 0.5000 0.0000  2 Cu 3.04, 2 K 3.06
3 Sc 0.2500 0.2500 0.5000  4 Sc 3.04-3.06
4 Sc 0.2500 0.7500 0.5000  4 Sc 3.04-3.06
5 Sc 0.7500 0.2500 0.5000  4 Sc 3.04-3.06
6 Sc 0.7500 0.7500 0.5000  4 Sc 3.04-3.06
7 Cu 0.0000 0.5000 0.0000  2 K 3.04, 2 Cu 3.06
8 Cu 0.5000 0.0000 0.0000  2 K 3.04, 2 Cu 3.06

---

# 11
# PaTi2As3

PaTi2As3 after structural relaxation (GGA-PBE, Alexandria).

Values from the calculation:
**DOS at the Fermi energy**: 5.47 states/eV/f.u.
**Calculated volume**: 240.13 Å³ per cell
**Final energy**: -7.38 eV per atom

a b c (Å): 3.6832 9.9724 6.5375
angles (deg): 90.00 90.00 90.00
Last column: nearest neighbours and their distance in Å.
Atoms (fractional coordinates):
1 Pa 0.0000 0.1378 0.0000  7 As 2.92-3.01
2 Pa 0.0000 0.8622 0.5000  7 As 2.92-3.01
3 Ti 0.0000 0.2165 0.4990  5 As 2.52-2.63
4 Ti 0.0000 0.7835 0.9990  5 As 2.52-2.63
5 Ti 0.5000 0.4961 0.5090  6 As 2.62-2.68
6 Ti 0.5000 0.5039 0.0090  6 As 2.62-2.68
7 As 0.0000 0.3976 0.7668  5 Ti 2.52-2.68
8 As 0.0000 0.6024 0.2668  5 Ti 2.52-2.68
9 As 0.5000 0.0640 0.6671  2 Ti 2.63, 2 Pa 2.94
10 As 0.5000 0.2942 0.2509  4 Ti 2.57-2.63
11 As 0.5000 0.7058 0.7509  4 Ti 2.57-2.63
12 As 0.5000 0.9360 0.1671  2 Ti 2.63, 2 Pa 2.94

---

# 12
# Cd5In4Pb2

Cd5In4Pb2 after structural relaxation (GGA-PBE, Alexandria).

Values from the calculation:
**DOS at the Fermi energy**: 4.56 states/eV/f.u.
**Calculated volume**: 289.07 Å³ per cell
**Final energy**: -2.04 eV per atom

a b c (Å): 8.8511 8.8511 10.1479
angles (deg): 96.56 96.56 21.47
Last column: nearest neighbours and their distance in Å.
Atoms (fractional coordinates):
1 Cd 0.0000 0.0000 0.0000  6 Cd 3.21-3.30, 6 In 3.27-3.36
2 Cd 0.2618 0.2618 0.3471  4 Cd 3.14-3.30, 3 Pb 3.24-3.31, 2 In 3.34
3 Cd 0.3668 0.3668 0.8245  6 Cd 3.14-3.30, 4 In 3.21-3.46
4 Cd 0.6332 0.6332 0.1755  6 Cd 3.14-3.30, 4 In 3.21-3.46
5 Cd 0.7382 0.7382 0.6529  4 Cd 3.14-3.30, 3 Pb 3.24-3.31, 2 In 3.34
6 In 0.1800 0.1800 0.9100  6 In 3.29-3.31, 6 Cd 3.34-3.46
7 In 0.4616 0.4616 0.2625  3 Cd 3.21-3.27, 4 In 3.29-3.30, 4 Pb 3.43
8 In 0.5384 0.5384 0.7375  3 Cd 3.21-3.27, 4 In 3.29-3.30, 4 Pb 3.43
9 In 0.8200 0.8200 0.0900  6 In 3.29-3.31, 6 Cd 3.34-3.46
10 Pb 0.0987 0.0987 0.4719  5 Cd 3.24-3.54, 3 Pb 3.30-3.55, 4 In 3.43
11 Pb 0.9013 0.9013 0.5281  5 Cd 3.24-3.54, 3 Pb 3.30-3.55, 4 In 3.43